(1)
Crystalline TaTi3As2 at its relaxed geometry. Source: Alexandria, functional PBE.

Lattice parameters (Å, degrees): 7.3184 7.3184 7.3184 135.30 71.30 127.58
Closest atoms and distances in Å follow each position.
Sites, in units of the cell vectors:
Ta  0.0000  0.0000  0.0000  4 Ti 2.72, 2 As 2.72
Ta  0.5000  0.5000  0.0000  4 Ti 2.72, 2 As 2.72
Ti  0.0659  0.2500  0.8159  4 As 2.59-2.62, 2 Ta 2.72
Ti  0.2500  0.7500  0.5000  4 As 2.58
Ti  0.4341  0.2500  0.1841  4 As 2.59-2.62, 2 Ta 2.72
Ti  0.5659  0.7500  0.8159  4 As 2.59-2.62, 2 Ta 2.72
Ti  0.7500  0.2500  0.5000  4 As 2.58
Ti  0.9341  0.7500  0.1841  4 As 2.59-2.62, 2 Ta 2.72
As  0.1557  0.6415  0.7972  6 Ti 2.58-2.62, 1 Ta 2.72
As  0.3443  0.1415  0.4858  6 Ti 2.58-2.62, 1 Ta 2.72
As  0.6557  0.8585  0.5142  6 Ti 2.58-2.62, 1 Ta 2.72
As  0.8443  0.3585  0.2028  6 Ti 2.58-2.62, 1 Ta 2.72

Properties
Its space group is Ibam (72). For the energy relative to the elements, the calculation gives -0.450 eV/atom. As for the crystal system: orthorhombic. The volume is 107.0 Å³/f.u.

(2)
Crystalline RbNbAlPt2 at its relaxed geometry. Source: Alexandria, functional PBE.

Lattice parameters (Å, degrees): 5.0314 5.0314 5.2336 90.00 90.00 90.00
Closest atoms and distances in Å follow each position.
Sites, in units of the cell vectors:
Rb  0.0000  0.0000  0.0000  4 Al 3.56, 8 Pt 3.63
Nb  0.5000  0.5000  0.5000  4 Pt 2.52, 2 Al 2.62
Al  0.5000  0.5000  0.0000  2 Nb 2.62
Pt  0.0000  0.5000  0.5000  2 Nb 2.52
Pt  0.5000  0.0000  0.5000  2 Nb 2.52

Properties
Its space group is P4/mmm (123). For the energy relative to the elements, the calculation gives 0.433 eV/atom. As for the crystal system: tetragonal. The volume is 132.5 Å³/f.u.

(3)
Crystalline Na3GeP2Pt9 at its relaxed geometry. Source: Alexandria, functional PBE.

Lattice parameters (Å, degrees): 6.4062 6.4062 8.2927 90.00 90.00 120.00
Closest atoms and distances in Å follow each position.
Sites, in units of the cell vectors:
Na  0.0000  0.0000  0.0000  6 Pt 2.72
Na  0.3333  0.6667  0.6593  9 Pt 3.27-3.38
Na  0.6667  0.3333  0.3407  9 Pt 3.27-3.38
Ge  0.0000  0.0000  0.5000  6 Pt 2.49
P  0.3333  0.6667  0.1813  6 Pt 2.24-2.38
P  0.6667  0.3333  0.8187  6 Pt 2.24-2.38
Pt  0.0000  0.5000  0.0000  2 P 2.38
Pt  0.1425  0.2849  0.2674  1 P 2.24, 1 Ge 2.49
Pt  0.1425  0.8575  0.2674  1 P 2.24, 1 Ge 2.49
Pt  0.2849  0.1425  0.7326  1 P 2.24, 1 Ge 2.49
Pt  0.5000  0.0000  0.0000  2 P 2.38
Pt  0.5000  0.5000  0.0000  2 P 2.38
Pt  0.7151  0.8575  0.2674  1 P 2.24, 1 Ge 2.49
Pt  0.8575  0.1425  0.7326  1 P 2.24, 1 Ge 2.49
Pt  0.8575  0.7151  0.7326  1 P 2.24, 1 Ge 2.49

Properties
Its space group is P-3m1 (164). For the energy relative to the elements, the calculation gives -0.277 eV/atom. As for the crystal system: trigonal. The volume is 294.7 Å³/f.u.

(4)
Crystalline Er3Cd2Ir at its relaxed geometry. Source: Alexandria, functional PBE.

Lattice parameters (Å, degrees): 7.9220 7.9220 7.4354 90.00 90.00 143.08
Closest atoms and distances in Å follow each position.
Sites, in units of the cell vectors:
Er  0.0000  0.0000  0.2330  2 Ir 2.94, 6 Cd 3.05-3.20
Er  0.0000  0.0000  0.7670  2 Ir 2.94, 6 Cd 3.05-3.20
Er  0.3255  0.6745  0.2222  3 Ir 3.01, 5 Cd 3.10-3.34, 1 Er 3.30
Er  0.3255  0.6745  0.7778  3 Ir 3.01, 5 Cd 3.10-3.34, 1 Er 3.30
Er  0.6745  0.3255  0.2222  3 Ir 3.01, 5 Cd 3.10-3.34, 1 Er 3.30
Er  0.6745  0.3255  0.7778  3 Ir 3.01, 5 Cd 3.10-3.34, 1 Er 3.30
Cd  0.1647  0.8353  0.5000  8 Er 3.17-3.25, 2 Cd 3.52
Cd  0.5000  0.5000  0.0000  8 Er 3.05-3.10
Cd  0.5000  0.5000  0.5000  8 Er 3.20-3.34, 4 Cd 3.52
Cd  0.8353  0.1647  0.5000  8 Er 3.17-3.25, 2 Cd 3.52
Ir  0.1580  0.8420  0.0000  8 Er 2.94-3.01
Ir  0.8420  0.1580  0.0000  8 Er 2.94-3.01

Properties
Its space group is Cmmm (65). For the energy relative to the elements, the calculation gives -0.543 eV/atom. As for the crystal system: orthorhombic. The volume is 140.1 Å³/f.u.

(5)
Crystalline Pd9Pt2Rh at its relaxed geometry. Source: Alexandria, functional PBE.

Lattice parameters (Å, degrees): 3.9369 3.9369 11.8196 90.00 90.00 90.00
Closest atoms and distances in Å follow each position.
Sites, in units of the cell vectors:
Pd  0.0000  0.0000  0.0000  8 Pd 2.76, 4 Rh 2.78
Pd  0.0000  0.0000  0.3319  4 Pt 2.78, 8 Pd 2.79-2.80
Pd  0.0000  0.0000  0.6681  4 Pt 2.78, 8 Pd 2.79-2.80
Pd  0.0000  0.5000  0.1642  2 Rh 2.76, 8 Pd 2.76-2.79, 2 Pt 2.80
Pd  0.0000  0.5000  0.5000  8 Pd 2.78-2.80, 4 Pt 2.80
Pd  0.0000  0.5000  0.8358  2 Rh 2.76, 8 Pd 2.76-2.79, 2 Pt 2.80
Pd  0.5000  0.0000  0.1642  2 Rh 2.76, 8 Pd 2.76-2.79, 2 Pt 2.80
Pd  0.5000  0.0000  0.5000  8 Pd 2.78-2.80, 4 Pt 2.80
Pd  0.5000  0.0000  0.8358  2 Rh 2.76, 8 Pd 2.76-2.79, 2 Pt 2.80
Pt  0.5000  0.5000  0.3321  12 Pd 2.78-2.80
Pt  0.5000  0.5000  0.6679  12 Pd 2.78-2.80
Rh  0.5000  0.5000  0.0000  12 Pd 2.76-2.78

Properties
Its space group is P4/mmm (123). For the energy relative to the elements, the calculation gives 0.011 eV/atom. As for the crystal system: tetragonal. The volume is 183.2 Å³/f.u.

(6)
Crystalline RbSbS3 at its relaxed geometry. Source: Alexandria, functional PBE.

Lattice parameters (Å, degrees): 5.3335 5.3335 5.3335 90.00 90.00 90.00
Closest atoms and distances in Å follow each position.
Sites, in units of the cell vectors:
Rb  0.0000  0.0000  0.0000  6 S 2.67
Sb  0.5000  0.5000  0.5000  12 S 3.77
S  0.0000  0.0000  0.5000  2 Rb 2.67
S  0.0000  0.5000  0.0000  2 Rb 2.67
S  0.5000  0.0000  0.0000  2 Rb 2.67

Properties
Its space group is Pm-3m (221). As for the crystal system: cubic. As for the energy relative to the elements, uncorrected: 6.6 eV per formula unit. The volume is 151.7 Å³/f.u. For the relative energy among the computed polymorphs, the calculation gives 9.34 eV/f.u.

(7)
Crystalline Pr3SmDy4 at its relaxed geometry. Source: Alexandria, functional PBE.

Lattice parameters (Å, degrees): 11.6454 7.3463 6.3247 90.00 90.00 90.00
Closest atoms and distances in Å follow each position.
Sites, in units of the cell vectors:
Pr  0.0000  0.1277  0.0000  4 Pr 3.60-3.62, 6 Dy 3.61-3.72, 2 Sm 3.68-3.69
Pr  0.2495  0.1276  0.3370  6 Dy 3.60-3.72, 4 Pr 3.60-3.68, 2 Sm 3.61-3.62
Pr  0.2505  0.8724  0.8370  6 Dy 3.60-3.72, 4 Pr 3.60-3.68, 2 Sm 3.61-3.62
Pr  0.5000  0.8723  0.5000  4 Pr 3.60-3.62, 6 Dy 3.61-3.72, 2 Sm 3.68-3.69
Pr  0.7505  0.1276  0.3370  6 Dy 3.60-3.72, 4 Pr 3.60-3.68, 2 Sm 3.61-3.62
Pr  0.7495  0.8724  0.8370  6 Dy 3.60-3.72, 4 Pr 3.60-3.68, 2 Sm 3.61-3.62
Sm  0.0000  0.8704  0.5007  6 Dy 3.59-3.74, 6 Pr 3.61-3.69
Sm  0.5000  0.1296  0.0007  6 Dy 3.59-3.74, 6 Pr 3.61-3.69
Dy  0.0000  0.3791  0.5014  6 Dy 3.56-3.64, 4 Pr 3.60-3.67, 2 Sm 3.61-3.74
Dy  0.0000  0.6215  0.0026  6 Dy 3.58-3.64, 4 Pr 3.61-3.72, 2 Sm 3.64-3.66
Dy  0.2493  0.6210  0.3348  6 Dy 3.56-3.63, 1 Sm 3.59, 5 Pr 3.61-3.72
Dy  0.2507  0.3790  0.8348  6 Dy 3.56-3.63, 1 Sm 3.59, 5 Pr 3.61-3.72
Dy  0.5000  0.3785  0.5026  6 Dy 3.58-3.64, 4 Pr 3.61-3.72, 2 Sm 3.64-3.66
Dy  0.5000  0.6209  0.0014  6 Dy 3.56-3.64, 4 Pr 3.60-3.67, 2 Sm 3.61-3.74
Dy  0.7493  0.3790  0.8348  6 Dy 3.56-3.63, 1 Sm 3.59, 5 Pr 3.61-3.72
Dy  0.7507  0.6210  0.3348  6 Dy 3.56-3.63, 1 Sm 3.59, 5 Pr 3.61-3.72

Properties
Its space group is Pmn2_1 (31). For the energy relative to the elements, the calculation gives 0.030 eV/atom. As for the crystal system: orthorhombic. The volume is 270.5 Å³/f.u. For the relative energy among the computed polymorphs, the calculation gives 0.00 eV/f.u.

(8)
Crystalline Mg8Mn3N8 at its relaxed geometry. Source: Alexandria, functional PBE.

Lattice parameters (Å, degrees): 8.5089 8.5089 6.6246 104.19 104.19 29.81
Closest atoms and distances in Å follow each position.
Sites, in units of the cell vectors:
Mg  0.0268  0.0268  0.2394  5 N 2.19-2.40
Mg  0.1927  0.1927  0.7926  4 N 2.17-2.23
Mg  0.3364  0.3364  0.5305  4 N 2.19-2.30
Mg  0.4037  0.4037  0.0397  4 N 2.19-2.27
Mg  0.5963  0.5963  0.9603  4 N 2.19-2.27
Mg  0.6636  0.6636  0.4695  4 N 2.19-2.30
Mg  0.8073  0.8073  0.2074  4 N 2.17-2.23
Mg  0.9732  0.9732  0.7606  5 N 2.19-2.40
Mn  0.1882  0.1882  0.2079  3 N 1.74-1.82
Mn  0.5000  0.5000  0.5000  2 N 1.75
Mn  0.8118  0.8118  0.7921  3 N 1.74-1.82
N  0.0984  0.0984  0.9823  1 Mn 1.82
N  0.1682  0.1682  0.4542  1 Mn 1.74
N  0.2932  0.2932  0.1878  1 Mn 1.76
N  0.4718  0.4718  0.7379  1 Mn 1.75
N  0.5282  0.5282  0.2621  1 Mn 1.75
N  0.7068  0.7068  0.8122  1 Mn 1.76
N  0.8318  0.8318  0.5458  1 Mn 1.74
N  0.9016  0.9016  0.0177  1 Mn 1.82

Properties
Its space group is C2/m (12). As for the crystal system: monoclinic. As for the energy relative to the elements, uncorrected: -9.4 eV per formula unit. The volume is 230.6 Å³/f.u.